1.
ZnReP | PBE | optimized geometry

Summary:
Distance to the lowest polymorph of the same formula   491 meV per atom
E_form   396 meV per atom
Raw total energy   -71.78 eV for the cell shown

abc: 5.7776 5.7776 5.7776
angles: 90.00 90.00 90.00
Space group F-43m (No. 216)
Asymmetric unit:
Zn  0.0000  0.0000  0.0000 x4
Re  0.2500  0.2500  0.7500 x4
P  0.0000  0.0000  0.5000 x4


2.
ZnReP | PBE | optimized geometry

Summary:
Distance to the lowest polymorph of the same formula   439 meV per atom
E_form   344 meV per atom
Raw total energy   -72.40 eV for the cell shown

abc: 2.9920 4.8374 13.0486
angles: 90.00 90.00 90.00
Space group Fmm2 (No. 42)
Asymmetric unit:
Zn  0.0000  0.0000  0.0000 x4
Re  0.0000  0.0000  0.3298 x4
P  0.0000  0.0000  0.6932 x4


3.
ZnReP | PBE | optimized geometry

Summary:
Distance to the lowest polymorph of the same formula   329 meV per atom
E_form   233 meV per atom
Raw total energy   -73.73 eV for the cell shown

abc: 5.6391 5.6391 5.6391
angles: 90.00 90.00 90.00
Space group F-43m (No. 216)
Asymmetric unit:
Zn  0.0000  0.0000  0.0000 x4
Re  0.0000  0.0000  0.5000 x4
P  0.2500  0.2500  0.2500 x4


4.
Zn3ReP | PBE | optimized geometry

Summary:
Distance to the lowest polymorph of the same formula   0 meV per atom
E_form   1202 meV per atom
Raw total energy   -15.67 eV for the cell shown

abc: 4.5169 4.5169 4.5169
angles: 90.00 90.00 90.00
Space group Pm-3m (No. 221)
Asymmetric unit:
Zn  0.0000  0.0000  0.5000 x3
Re  0.5000  0.5000  0.5000 x1
P  0.0000  0.0000  0.0000 x1


5.
ZnRe2P | PBE | optimized geometry

Summary:
Distance to the lowest polymorph of the same formula   35 meV per atom
E_form   72 meV per atom
Raw total energy   -93.88 eV for the cell shown

abc: 2.8462 2.8462 25.2793
angles: 90.00 90.00 120.00
Space group R3m (No. 160, hexagonal axes)
Asymmetric unit:
Zn  0.0000  0.0000  0.0000 x3
Re  0.0000  0.0000  0.2461 x3
Re  0.0000  0.0000  0.4941 x3
P  0.0000  0.0000  0.7549 x3


6.
ZnRe4P | PBE | optimized geometry

Summary:
E_form   802 meV per atom
Raw total energy   -206.66 eV for the cell shown

abc: 7.3485 7.3485 7.3485
angles: 90.00 90.00 90.00
Space group F-43m (No. 216)
Asymmetric unit:
Zn  0.0000  0.0000  0.0000 x4
Re  0.1245  0.1245  0.3755 x16
P  0.2500  0.2500  0.7500 x4


7.
ZrReP3 | PBE | optimized geometry

Summary:
Distance to the lowest polymorph of the same formula   0 meV per atom
E_form   494 meV per atom
Raw total energy   -34.75 eV for the cell shown

abc: 4.6198 4.6198 4.6198
angles: 90.00 90.00 90.00
Space group Pm-3m (No. 221)
Asymmetric unit:
Zr  0.0000  0.0000  0.0000 x1
Re  0.5000  0.5000  0.5000 x1
P  0.0000  0.5000  0.5000 x3


8.
Zr2ReP | PBE | optimized geometry

Summary:
E_form   -183 meV per atom
Raw total energy   -107.05 eV for the cell shown

abc: 3.3527 3.3527 23.6799
angles: 90.00 90.00 120.00
Space group R3m (No. 160, hexagonal axes)
Asymmetric unit:
Zr  0.0000  0.0000  0.0000 x3
Zr  0.0000  0.0000  0.2282 x3
Re  0.0000  0.0000  0.4626 x3
P  0.0000  0.0000  0.7413 x3


9.
ZrReP4 | PBE | optimized geometry

Summary:
E_form   481 meV per atom
Raw total energy   -158.99 eV for the cell shown

abc: 7.0867 7.0867 7.0867
angles: 90.00 90.00 90.00
Space group F-43m (No. 216)
Asymmetric unit:
Zr  0.0000  0.0000  0.0000 x4
Re  0.2500  0.2500  0.2500 x4
P  0.1242  0.1242  0.6242 x16


10.
Zr4ReP | PBE | optimized geometry

Summary:
E_form   641 meV per atom
Raw total energy   -192.82 eV for the cell shown

abc: 7.8361 7.8361 7.8361
angles: 90.00 90.00 90.00
Space group F-43m (No. 216)
Asymmetric unit:
Zr  0.1237  0.1237  0.3763 x16
Re  0.2500  0.2500  0.7500 x4
P  0.0000  0.0000  0.0000 x4


11.
Zr2ReP | PBE | optimized geometry

Summary:
E_form   -551 meV per atom
Raw total energy   -37.16 eV for the cell shown

abc: 3.3988 3.3988 6.1381
angles: 90.00 90.00 90.00
Space group P4/mmm (No. 123)
Asymmetric unit:
Zr  0.0000  0.0000  0.2442 x2
Re  0.5000  0.5000  0.5000 x1
P  0.5000  0.5000  0.0000 x1


12.
Zr2ReP | PBE | optimized geometry

Summary:
E_form   65 meV per atom
Raw total energy   -138.77 eV for the cell shown

abc: 7.1995 7.1995 5.8839
angles: 90.00 90.00 90.00
Space group I-42d (No. 122)
Asymmetric unit:
Zr  0.2372  0.7500  0.1250 x8
Re  0.0000  0.0000  0.5000 x4
P  0.0000  0.0000  0.0000 x4


> Which of these has the highest E_form?

Zn3ReP


> Number 2 is which compound?

ZnReP